[1]
## K2In7Pb (GGA-PBE)

Data for a relaxed structure of K2In7Pb.

The value obtained for the density of states at the Fermi level is 2.9 states/eV per cell. The calculated total energy is -2.63 eV/atom. As for the formation energy: -125 meV/atom.

The space group is P-4m2 (No. 115) and the conventional cell measures 4.9920, 4.9920 and 12.8782 Å, with angles of 90.00, 90.00 and 90.00 degrees. Symmetry generates all atoms from K at (0.0000, 0.5000, 0.2467), In at (0.0000, 0.0000, 0.0000), In at (0.0000, 0.5000, 0.6413), In at (0.0000, 0.5000, 0.8651), In at (0.5000, 0.5000, 0.0000), In at (0.5000, 0.5000, 0.5000) and Pb at (0.0000, 0.0000, 0.5000).

[2]
## PaTl2CdTe4 (GGA-PBE)

Data for a relaxed structure of PaTl2CdTe4.

The value obtained for the density of states at the Fermi level is 5.4 states/eV per cell. The uncorrected formation energy comes out at -0.51 eV per atom. The calculated total energy is -3.98 eV/atom.

The space group is P2/m (No. 10) and the conventional cell measures 7.7738, 4.3899 and 8.6029 Å, with angles of 90.00, 108.12 and 90.00 degrees. Symmetry generates all atoms from Pa at (0.0000, 0.0000, 0.0000), Tl at (0.0000, 0.5000, 0.5000), Tl at (0.5000, 0.0000, 0.5000), Cd at (0.5000, 0.5000, 0.0000), Te at (0.2285, 0.5000, 0.2204) and Te at (0.2636, 0.0000, 0.7964).

[3]
## Dy2YHg (GGA-PBE)

Data for a relaxed structure of Dy2YHg.

The value obtained for the density of states at the Fermi level is 5.2 states/eV per cell. The calculated total energy is -4.15 eV/atom. For the energy above the most stable polymorph in this dataset, the calculation gives 0.0685 eV/atom. As for the formation energy: -158 meV/atom.

The space group is P4/mmm (No. 123) and the conventional cell measures 4.7974, 4.7974 and 4.8341 Å, with angles of 90.00, 90.00 and 90.00 degrees. Symmetry generates all atoms from Dy at (0.0000, 0.5000, 0.0000), Y at (0.0000, 0.0000, 0.5000) and Hg at (0.5000, 0.5000, 0.5000).

[4]
## Sr2SN (GGA-PBE)

Data for a relaxed structure of Sr2SN.

The value obtained for the density of states at the Fermi level is 27.3 states/eV per cell. The uncorrected formation energy comes out at -0.70 eV per atom. The calculated total energy is -4.65 eV/atom. For the energy above the most stable polymorph in this dataset, the calculation gives 0.2217 eV/atom.

The space group is Fm-3m (No. 225) and the conventional cell measures 6.9771, 6.9771 and 6.9771 Å, with angles of 90.00, 90.00 and 90.00 degrees. Symmetry generates all atoms from Sr at (0.2500, 0.2500, 0.2500), S at (0.0000, 0.0000, 0.0000) and N at (0.0000, 0.0000, 0.5000).

[5]
## MgPdPtO6 (GGA-PBE)

Data for a relaxed structure of MgPdPtO6.

The value obtained for the density of states at the Fermi level is 7.6 states/eV per cell. The uncorrected formation energy comes out at -0.79 eV per atom. The calculated total energy is -5.52 eV/atom.

The space group is P-31c (No. 163) and the conventional cell measures 5.1909, 5.1909 and 8.7749 Å, with angles of 90.00, 90.00 and 120.00 degrees. Symmetry generates all atoms from Mg at (0.0000, 0.0000, 0.0000), Pd at (0.3333, 0.6667, 0.2500), Pt at (0.3333, 0.6667, 0.7500) and O at (0.0028, 0.3499, 0.6280).

[6]
## Dy3TmPt12 (GGA-PBE)

Data for a relaxed structure of Dy3TmPt12.

The value obtained for the density of states at the Fermi level is 14.7 states/eV per cell. The calculated total energy is -6.72 eV/atom. As for the formation energy: -1048 meV/atom.

The space group is P4/mmm (No. 123) and the conventional cell measures 4.1188, 4.1188 and 16.4044 Å, with angles of 90.00, 90.00 and 90.00 degrees. Symmetry generates all atoms from Dy at (0.0000, 0.0000, 0.0000), Dy at (0.0000, 0.0000, 0.2508), Tm at (0.0000, 0.0000, 0.5000), Pt at (0.0000, 0.5000, 0.1255), Pt at (0.0000, 0.5000, 0.3766), Pt at (0.5000, 0.5000, 0.0000), Pt at (0.5000, 0.5000, 0.2510) and Pt at (0.5000, 0.5000, 0.5000).

[7]
## CaCuP2 (GGA-PBE)

Data for a relaxed structure of CaCuP2.

The value obtained for the density of states at the Fermi level is 8.9 states/eV per cell. The calculated total energy is -4.48 eV/atom. As for the formation energy: -252 meV/atom.

The space group is R3m (No. 160, hexagonal axes) and the conventional cell measures 3.8100, 3.8100 and 17.6685 Å, with angles of 90.00, 90.00 and 120.00 degrees. Symmetry generates all atoms from Ca at (0.0000, 0.0000, 0.0000), Cu at (0.0000, 0.0000, 0.1785), P at (0.0000, 0.0000, 0.5652) and P at (0.0000, 0.0000, 0.7804).

[8]
## NaMn2W (GGA-PBE)

Data for a relaxed structure of NaMn2W.

The value obtained for the density of states at the Fermi level is 11.3 states/eV per cell. The calculated total energy is -7.34 eV/atom. For the energy above the most stable polymorph in this dataset, the calculation gives 0.0000 eV/atom. As for the formation energy: 812 meV/atom.

The space group is Fm-3m (No. 225) and the conventional cell measures 6.1848, 6.1848 and 6.1848 Å, with angles of 90.00, 90.00 and 90.00 degrees. Symmetry generates all atoms from Na at (0.0000, 0.0000, 0.0000), Mn at (0.2500, 0.2500, 0.2500) and W at (0.0000, 0.0000, 0.5000).

[9]
## Pr2NbWN6 (GGA-PBE)

Data for a relaxed structure of Pr2NbWN6.

The value obtained for the density of states at the Fermi level is 14.2 states/eV per cell. The uncorrected formation energy comes out at -0.87 eV per atom. The calculated total energy is -9.13 eV/atom.

The space group is P2_1/c (No. 14) and the conventional cell measures 5.7057, 5.7381 and 9.8617 Å, with angles of 90.00, 125.21 and 90.00 degrees. Symmetry generates all atoms from Pr at (0.2431, 0.0367, 0.2500), Nb at (0.5000, 0.0000, 0.0000), W at (0.0000, 0.0000, 0.5000), N at (0.1738, 0.2217, 0.9600), N at (0.2377, 0.7135, 0.9607) and N at (0.3197, 0.0136, 0.7454).

[10]
## KZrTl (GGA-PBE)

Data for a relaxed structure of KZrTl.

The value obtained for the density of states at the Fermi level is 12.4 states/eV per cell. The calculated total energy is -3.67 eV/atom. For the energy above the most stable polymorph in this dataset, the calculation gives 0.3158 eV/atom. As for the formation energy: 339 meV/atom.

The space group is Pnma (No. 62) and the conventional cell measures 9.0794, 4.7333 and 8.9124 Å, with angles of 90.00, 90.00 and 90.00 degrees. Symmetry generates all atoms from K at (0.0093, 0.2500, 0.1396), Zr at (0.1004, 0.2500, 0.5499) and Tl at (0.2091, 0.7500, 0.3408).

[11]
## Mg3ZnMo (GGA-PBE)

Data for a relaxed structure of Mg3ZnMo.

The value obtained for the density of states at the Fermi level is 5.4 states/eV per cell. The calculated total energy is -2.24 eV/atom. For the energy above the most stable polymorph in this dataset, the calculation gives 0.1658 eV/atom. As for the formation energy: 1139 meV/atom.

The space group is Pm-3m (No. 221) and the conventional cell measures 5.3306, 5.3306 and 5.3306 Å, with angles of 90.00, 90.00 and 90.00 degrees. Symmetry generates all atoms from Mg at (0.0000, 0.0000, 0.5000), Zn at (0.5000, 0.5000, 0.5000) and Mo at (0.0000, 0.0000, 0.0000).

[12]
## KYTl (GGA-PBE)

Data for a relaxed structure of KYTl.

The value obtained for the density of states at the Fermi level is 20.9 states/eV per cell. The calculated total energy is -3.00 eV/atom. For the energy above the most stable polymorph in this dataset, the calculation gives 0.4437 eV/atom. As for the formation energy: 309 meV/atom.

The space group is F-43m (No. 216) and the conventional cell measures 7.7489, 7.7489 and 7.7489 Å, with angles of 90.00, 90.00 and 90.00 degrees. Symmetry generates all atoms from K at (0.0000, 0.0000, 0.0000), Y at (0.0000, 0.0000, 0.5000) and Tl at (0.2500, 0.2500, 0.2500).